(1)
Here is a PBEsol-optimized structure of Tb3Zn11 from Alexandria via LeMat-Bulk. Energies are from SCAN.

Unit cell a=4.3139 b=8.6750 c=12.7335 alpha=90.00 beta=90.00 gamma=90.00
Space group Immm (No. 71)
Inequivalent atoms, fractional coordinates:
Tb 0.0000 0.0000 0.0000 x2
Tb 0.0000 0.0000 0.2935 x4
Zn 0.0000 0.1816 0.5000 x4
Zn 0.0000 0.2831 0.1397 x8
Zn 0.0000 0.3599 0.3428 x8
Zn 0.0000 0.5000 0.0000 x2

Summary:
DFT formation energy (kJ per mole of atoms): -39.9
N(E_F) (states/eV/f.u.): 5.94

(2)
Here is a PBEsol-optimized structure of TbZn from Alexandria via LeMat-Bulk. Energies are from SCAN.

Unit cell a=3.5130 b=3.5130 c=3.5130 alpha=90.00 beta=90.00 gamma=90.00
Space group Pm-3m (No. 221)
Inequivalent atoms, fractional coordinates:
Tb 0.0000 0.0000 0.0000 x1
Zn 0.5000 0.5000 0.5000 x1

Summary:
DFT formation energy (kJ per mole of atoms): -39.5
N(E_F) (states/eV/f.u.): 2.17

(3)
Here is a PBEsol-optimized structure of Tb3Zr from Alexandria via LeMat-Bulk. Energies are from SCAN.

Unit cell a=4.7933 b=4.7933 c=9.5398 alpha=90.00 beta=90.00 gamma=90.00
Space group I4/mmm (No. 139)
Inequivalent atoms, fractional coordinates:
Tb 0.0000 0.0000 0.0000 x2
Tb 0.0000 0.5000 0.2500 x4
Zr 0.0000 0.0000 0.5000 x2

Summary:
DFT formation energy (kJ per mole of atoms): 9.2
N(E_F) (states/eV/f.u.): 4.08

(4)
Here is a PBEsol-optimized structure of TcTe from Alexandria via LeMat-Bulk. Energies are from SCAN.

Unit cell a=13.6924 b=3.1242 c=6.2175 alpha=90.00 beta=111.65 gamma=90.00
Space group Cm (No. 8)
Inequivalent atoms, fractional coordinates:
Tc 0.0000 0.0000 0.0000 x2
Tc 0.0532 0.0000 0.6132 x2
Tc 0.4027 0.0000 0.6621 x2
Te 0.1561 0.5000 0.9800 x2
Te 0.2272 0.5000 0.5346 x2
Te 0.4236 0.0000 0.2507 x2

Summary:
ΔE_f (raw) (eV/atom): 0.197
Relative energy among the computed polymorphs (eV per atom): 0.000
N(E_F) (states/eV/f.u.): 1.11

(5)
Here is a PBEsol-optimized structure of TcTe8 from Alexandria via LeMat-Bulk. Energies are from SCAN.

Unit cell a=10.2635 b=10.2635 c=4.8405 alpha=90.00 beta=90.00 gamma=90.00
Space group I4/mmm (No. 139)
Inequivalent atoms, fractional coordinates:
Tc 0.0000 0.0000 0.0000 x2
Te 0.0000 0.2717 0.0000 x8
Te 0.1482 0.1482 0.5000 x8

Summary:
ΔE_f (raw) (eV/atom): 0.398
N(E_F) (states/eV/f.u.): 4.86

(6)
Here is a PBEsol-optimized structure of TcTe from Alexandria via LeMat-Bulk. Energies are from SCAN.

Unit cell a=3.3135 b=10.3954 c=4.2114 alpha=90.00 beta=90.00 gamma=90.00
Space group Cmcm (No. 63)
Inequivalent atoms, fractional coordinates:
Tc 0.0000 0.0850 0.2500 x4
Te 0.0000 0.3520 0.2500 x4

Summary:
ΔE_f (raw) (eV/atom): 0.324
Relative energy among the computed polymorphs (eV per atom): 0.127
N(E_F) (states/eV/f.u.): 1.70

(7)
Here is a PBEsol-optimized structure of Tc2Te from Alexandria via LeMat-Bulk. Energies are from SCAN.

Unit cell a=5.1322 b=5.1322 c=8.1174 alpha=90.00 beta=90.00 gamma=90.00
Space group I4/mcm (No. 140)
Inequivalent atoms, fractional coordinates:
Tc 0.1674 0.3326 0.0000 x8
Te 0.0000 0.0000 0.2500 x4

Summary:
ΔE_f (raw) (eV/atom): 0.534
N(E_F) (states/eV/f.u.): 3.96

(8)
Here is a PBEsol-optimized structure of TcTe from Alexandria via LeMat-Bulk. Energies are from SCAN.

Unit cell a=6.6686 b=6.6686 c=6.6686 alpha=90.00 beta=90.00 gamma=90.00
Space group Fd-3m (No. 227, origin choice 2)
Inequivalent atoms, fractional coordinates:
Tc 0.1250 0.1250 0.1250 x8
Te 0.1250 0.1250 0.6250 x8

Summary:
ΔE_f (raw) (eV/atom): 1.086
Relative energy among the computed polymorphs (eV per atom): 0.890
N(E_F) (states/eV/f.u.): 2.61

Per-record total moment, Bohr magnetons per cell: 0.00 0.16 0.00 0.00 0.00 0.00 0.00 0.00
Per-record density, g/cm3: 8.337 8.592 8.606 9.092 7.287 10.330 10.053 10.106